(1)
Here is TlHgW2 after structural relaxation from Alexandria. Energies are from PBE-GGA.

## Properties
Final energy (eV per atom): -6.07
E above lowest polymorph (meV per atom): 480

Geometry as CIF:
```
data_TlHgW2
_cell_length_a 4.222
_cell_length_b 4.222
_cell_length_c 8.359
_cell_angle_alpha 90.00
_cell_angle_beta 90.00
_cell_angle_gamma 90.00
_space_group_name_H-M_alt 'I -4 m 2'
_space_group_IT_number 119
_space_group_name_Hall 'I -4 -2'
loop_
_atom_site_label
_atom_site_fract_x
_atom_site_fract_y
_atom_site_fract_z
Tl1 0.000 0.000 0.000
Hg1 0.000 0.500 0.250
W1 0.000 0.000 0.500
W2 0.000 0.500 0.750
```


(2)
Here is LiCoCu2W after structural relaxation from Alexandria. Energies are from PBE-GGA.

## Properties
Final energy (eV per atom): -4.77

Geometry as CIF:
```
data_LiCoCu2W
_cell_length_a 3.858
_cell_length_b 3.858
_cell_length_c 4.465
_cell_angle_alpha 90.00
_cell_angle_beta 90.00
_cell_angle_gamma 90.00
_space_group_name_H-M_alt 'P 4/m m m'
_space_group_IT_number 123
_space_group_name_Hall '-P 4 2'
loop_
_atom_site_label
_atom_site_fract_x
_atom_site_fract_y
_atom_site_fract_z
Li1 0.000 0.000 0.000
Co1 0.500 0.500 0.500
Cu1 0.000 0.500 0.000
W1 0.000 0.000 0.500
```


(3)
Here is Sc2Tl3Te6Au after structural relaxation from Alexandria. Energies are from PBE-GGA.

## Properties
Final energy (eV per atom): -4.09
Uncorrected formation energy (meV per atom): -600

Geometry as CIF:
```
data_Sc2Tl3Te6Au
_cell_length_a 7.627
_cell_length_b 12.628
_cell_length_c 8.489
_cell_angle_alpha 90.00
_cell_angle_beta 110.67
_cell_angle_gamma 90.00
_space_group_name_H-M_alt 'C 1 2/m 1'
_space_group_IT_number 12
_space_group_name_Hall '-C 2y'
loop_
_atom_site_label
_atom_site_fract_x
_atom_site_fract_y
_atom_site_fract_z
Sc1 0.000 0.158 0.000
Tl1 0.000 0.000 0.500
Tl2 0.000 0.325 0.500
Te1 0.223 0.338 0.188
Te2 0.224 0.000 0.232
Au1 0.000 0.500 0.000
```


(4)
Here is CsPaAgBr6 after structural relaxation from Alexandria. Energies are from PBE-GGA.

## Properties
Final energy (eV per atom): -3.90
Uncorrected formation energy (meV per atom): -1317

Geometry as CIF:
```
data_CsPaAgBr6
_cell_length_a 7.3931
_cell_length_b 7.3931
_cell_length_c 16.5362
_cell_angle_alpha 90.00
_cell_angle_beta 90.00
_cell_angle_gamma 120.00
_space_group_name_H-M_alt 'P -3 1 c'
_space_group_IT_number 163
_space_group_name_Hall '-P 3 2c'
loop_
_atom_site_label
_atom_site_fract_x
_atom_site_fract_y
_atom_site_fract_z
Cs1 0.0000 0.0000 0.0000
Pa1 0.3333 0.6667 0.2500
Ag1 0.3333 0.6667 0.7500
Br1 0.0113 0.3717 0.1498
```


(5)
Here is In2RuSe after structural relaxation from Alexandria. Energies are from PBE-GGA.

## Properties
Final energy (eV per atom): -4.54
Uncorrected formation energy (meV per atom): 17

Geometry as CIF:
```
data_In2RuSe
_cell_length_a 3.108
_cell_length_b 3.108
_cell_length_c 8.897
_cell_angle_alpha 90.00
_cell_angle_beta 90.00
_cell_angle_gamma 90.00
_space_group_name_H-M_alt 'P 4 m m'
_space_group_IT_number 99
_space_group_name_Hall 'P 4 -2'
loop_
_atom_site_label
_atom_site_fract_x
_atom_site_fract_y
_atom_site_fract_z
In1 0.000 0.000 0.000
In2 0.500 0.500 0.284
Ru1 0.000 0.000 0.517
Se1 0.500 0.500 0.662
```


(6)
Here is Zr2FeCoP after structural relaxation from Alexandria. Energies are from PBE-GGA.

## Properties
Final energy (eV per atom): -7.57

Geometry as CIF:
```
data_Zr2FeCoP
_cell_length_a 4.892
_cell_length_b 4.892
_cell_length_c 4.003
_cell_angle_alpha 90.00
_cell_angle_beta 90.00
_cell_angle_gamma 90.00
_space_group_name_H-M_alt 'P 4/m m m'
_space_group_IT_number 123
_space_group_name_Hall '-P 4 2'
loop_
_atom_site_label
_atom_site_fract_x
_atom_site_fract_y
_atom_site_fract_z
Zr1 0.000 0.500 0.000
Fe1 0.000 0.000 0.500
Co1 0.500 0.500 0.500
P1 0.500 0.500 0.000
```


(7)
Here is Pu2CdNi3As4 after structural relaxation from Alexandria. Energies are from PBE-GGA.

## Properties
Final energy (eV per atom): -7.06

Geometry as CIF:
```
data_Pu2CdNi3As4
_cell_length_a 4.249
_cell_length_b 4.249
_cell_length_c 9.940
_cell_angle_alpha 90.00
_cell_angle_beta 90.00
_cell_angle_gamma 90.00
_space_group_name_H-M_alt 'P -4 m 2'
_space_group_IT_number 115
_space_group_name_Hall 'P -4 -2'
loop_
_atom_site_label
_atom_site_fract_x
_atom_site_fract_y
_atom_site_fract_z
Pu1 0.000 0.500 0.228
Cd1 0.000 0.000 0.500
Ni1 0.000 0.500 0.893
Ni2 0.500 0.500 0.500
As1 0.000 0.000 0.000
As2 0.000 0.500 0.659
As3 0.500 0.500 0.000
```


(8)
Here is Mg3CuW after structural relaxation from Alexandria. Energies are from PBE-GGA.

## Properties
Final energy (eV per atom): -2.81
E above lowest polymorph (meV per atom): 530

Geometry as CIF:
```
data_Mg3CuW
_cell_length_a 5.254
_cell_length_b 5.254
_cell_length_c 5.254
_cell_angle_alpha 90.00
_cell_angle_beta 90.00
_cell_angle_gamma 90.00
_space_group_name_H-M_alt 'P m -3 m'
_space_group_IT_number 221
_space_group_name_Hall '-P 4 2 3'
loop_
_atom_site_label
_atom_site_fract_x
_atom_site_fract_y
_atom_site_fract_z
Mg1 0.000 0.000 0.500
Cu1 0.500 0.500 0.500
W1 0.000 0.000 0.000
```


(9)
Here is Ta2BTeIr after structural relaxation from Alexandria. Energies are from PBE-GGA.

## Properties
Final energy (eV per atom): -6.25
Uncorrected formation energy (meV per atom): 2231

Geometry as CIF:
```
data_Ta2BTeIr
_cell_length_a 5.067
_cell_length_b 5.067
_cell_length_c 4.090
_cell_angle_alpha 90.00
_cell_angle_beta 90.00
_cell_angle_gamma 90.00
_space_group_name_H-M_alt 'P 4/m m m'
_space_group_IT_number 123
_space_group_name_Hall '-P 4 2'
loop_
_atom_site_label
_atom_site_fract_x
_atom_site_fract_y
_atom_site_fract_z
Ta1 0.000 0.500 0.000
B1 0.000 0.000 0.500
Te1 0.000 0.000 0.000
Ir1 0.500 0.500 0.500
```


(10)
Here is Rb3HgBi after structural relaxation from Alexandria. Energies are from PBE-GGA.

## Properties
Final energy (eV per atom): -1.58
E above lowest polymorph (meV per atom): 151

Geometry as CIF:
```
data_Rb3HgBi
_cell_length_a 7.245
_cell_length_b 7.245
_cell_length_c 7.245
_cell_angle_alpha 90.00
_cell_angle_beta 90.00
_cell_angle_gamma 90.00
_space_group_name_H-M_alt 'P m -3 m'
_space_group_IT_number 221
_space_group_name_Hall '-P 4 2 3'
loop_
_atom_site_label
_atom_site_fract_x
_atom_site_fract_y
_atom_site_fract_z
Rb1 0.000 0.000 0.500
Hg1 0.500 0.500 0.500
Bi1 0.000 0.000 0.000
```


(11)
Here is NdHo2Er3 after structural relaxation from Alexandria. Energies are from PBE-GGA.

## Properties
Final energy (eV per atom): -4.58
E above lowest polymorph (meV per atom): 0

Geometry as CIF:
```
data_NdHo2Er3
_cell_length_a 17.353
_cell_length_b 7.085
_cell_length_c 6.124
_cell_angle_alpha 90.00
_cell_angle_beta 90.20
_cell_angle_gamma 90.00
_space_group_name_H-M_alt 'C 1 2/c 1'
_space_group_IT_number 15
_space_group_name_Hall '-C 2yc'
loop_
_atom_site_label
_atom_site_fract_x
_atom_site_fract_y
_atom_site_fract_z
Nd1 0.000 0.126 0.250
Ho1 0.167 0.375 0.418
Er1 0.000 0.376 0.750
Er2 0.168 0.125 0.916
```


(12)
Here is SrZnAs2Br after structural relaxation from Alexandria. Energies are from PBE-GGA.

## Properties
Final energy (eV per atom): -3.19
Uncorrected formation energy (meV per atom): -403
E above lowest polymorph (meV per atom): 0

Geometry as CIF:
```
data_SrZnAs2Br
_cell_length_a 4.773
_cell_length_b 4.773
_cell_length_c 6.050
_cell_angle_alpha 90.00
_cell_angle_beta 90.00
_cell_angle_gamma 90.00
_space_group_name_H-M_alt 'P 4/m m m'
_space_group_IT_number 123
_space_group_name_Hall '-P 4 2'
loop_
_atom_site_label
_atom_site_fract_x
_atom_site_fract_y
_atom_site_fract_z
Sr1 0.000 0.000 0.000
Zn1 0.500 0.500 0.500
As1 0.000 0.500 0.500
Br1 0.500 0.500 0.000
```